# 1
Computed, not measured: PrPOsO after structural relaxation at the PBE level of DFT.

Summary:
- total magnetic moment (μB/atom) = 0.000
- ΔE to the lowest computed polymorph (meV per atom) = 766
- calculated density (kg/m³) = 9260
- symmetry = Pmc2_1
- raw total energy (eV per cell) = -61.13

abc: 3.2956 7.7171 5.3320
angles: 90.00 90.00 90.00
Fractional coordinates of all 8 atoms:
1 O 0.0000 0.4995 0.2539
2 O 0.0000 0.5005 0.7539
3 Os 0.0000 0.2747 0.0002
4 Os 0.0000 0.7254 0.5002
5 P 0.5000 0.0737 0.0005
6 P 0.5000 0.9263 0.5005
7 Pr 0.5000 0.3190 0.4994
8 Pr 0.5000 0.6810 0.9994

=====

# 2
Computed, not measured: NdTcHg after structural relaxation at the PBE level of DFT.

Summary:
- total magnetic moment (μB/atom) = 0.500
- ΔE to the lowest computed polymorph (meV per atom) = 0
- calculated density (kg/m³) = 9274
- E_form (eV/atom) = 0.6510
- symmetry = F-43m
- raw total energy (eV per cell) = -13.47

abc: 4.8222 4.8222 4.8222
angles: 60.00 60.00 60.00
Fractional coordinates of all 3 atoms:
1 Hg 0.0000 0.0000 0.0000
2 Nd 0.2500 0.2500 0.2500
3 Tc 0.7500 0.7500 0.7500

=====

# 3
Computed, not measured: ErTaPd after structural relaxation at the PBE level of DFT.

Summary:
- total magnetic moment (μB/atom) = 0.643
- ΔE to the lowest computed polymorph (meV per atom) = 819
- calculated density (kg/m³) = 10807
- E_form (eV/atom) = 1.0407
- symmetry = F-43m
- raw total energy (eV per cell) = -18.47

abc: 4.6228 4.6228 4.6228
angles: 60.00 60.00 60.00
Fractional coordinates of all 3 atoms:
1 Er 0.0000 0.0000 0.0000
2 Pd 0.2500 0.2500 0.2500
3 Ta 0.7500 0.7500 0.7500

=====

Q: Number 1 is which compound?
A: PrPOsO

=====

Copy entry 2 word for word.
Computed, not measured: NdTcHg after structural relaxation at the PBE level of DFT.

Summary:
- total magnetic moment (μB/atom) = 0.500
- ΔE to the lowest computed polymorph (meV per atom) = 0
- calculated density (kg/m³) = 9274
- E_form (eV/atom) = 0.6510
- symmetry = F-43m
- raw total energy (eV per cell) = -13.47

abc: 4.8222 4.8222 4.8222
angles: 60.00 60.00 60.00
Fractional coordinates of all 3 atoms:
1 Hg 0.0000 0.0000 0.0000
2 Nd 0.2500 0.2500 0.2500
3 Tc 0.7500 0.7500 0.7500